# Pm2Pr3Sb2

A relaxed structure of Pm2Pr3Sb2 (PBE, Alexandria via LeMat-Bulk).

Properties
- total energy (eV per cell) = -35.33

abc: 8.8047 8.8047 7.4841
angles: 114.11 114.11 26.72
Last column: nearest neighbours and their distance in Å.
Atoms (fractional coordinates):
Pm 0.0989 0.0989 0.1948  2 Sb 3.15, 1 Pr 3.37, 1 Pm 3.42
Pm 0.9011 0.9011 0.8052  2 Sb 3.15, 1 Pr 3.37, 1 Pm 3.42
Pr 0.0000 0.0000 0.5000  4 Sb 3.24, 2 Pm 3.37, 2 Pr 3.39
Pr 0.2169 0.2169 0.7523  3 Sb 3.32-3.33, 1 Pr 3.39, 2 Pm 3.63
Pr 0.7831 0.7831 0.2477  3 Sb 3.32-3.33, 1 Pr 3.39, 2 Pm 3.63
Sb 0.4088 0.4088 0.1336  2 Pm 3.15, 5 Pr 3.24-3.33
Sb 0.5912 0.5912 0.8664  2 Pm 3.15, 5 Pr 3.24-3.33

# Pm3Pr2Sb2

A relaxed structure of Pm3Pr2Sb2 (PBE, Alexandria via LeMat-Bulk).

Properties
- total energy (eV per cell) = -36.68

abc: 6.5795 6.5795 8.8462
angles: 107.61 107.61 38.92
Last column: nearest neighbours and their distance in Å.
Atoms (fractional coordinates):
Pm 0.0000 0.0000 0.0000  4 Sb 3.16
Pm 0.1276 0.1276 0.4497  3 Sb 3.26-3.30, 3 Pm 3.55-3.62
Pm 0.8724 0.8724 0.5503  3 Sb 3.26-3.30, 3 Pm 3.55-3.62
Pr 0.3623 0.3623 0.2009  3 Sb 3.24-3.45, 2 Pm 3.58
Pr 0.6377 0.6377 0.7991  3 Sb 3.24-3.45, 2 Pm 3.58
Sb 0.3303 0.3303 0.7988  5 Pm 3.16-3.30, 3 Pr 3.24-3.45
Sb 0.6697 0.6697 0.2012  5 Pm 3.16-3.30, 3 Pr 3.24-3.45